Below is HoErTmOs after structural relaxation, with properties calculated at the PBE level. Values from VASP.

Space group: F-43m
Magnetization (μB per atom): 0.00
Energy of formation from the pure elements (eV per atom): 0.079
Theoretical density (g cm⁻³): 12.4
Volume (A^3/atom): 23.1
Calculated total energy (eV/atom): -6.132

Geometry as Quantum ESPRESSO input:
```
&SYSTEM
  ibrav = 0, nat = 4, ntyp = 4
/
ATOMIC_SPECIES
Tm 168.93 Tm.upf
Os 190.23 Os.upf
Ho 164.93 Ho.upf
Er 167.26 Er.upf
CELL_PARAMETERS angstrom
-1.5308 4.8165 0.4673
-4.4524 1.0456 2.2008
-0.1161 2.1934 4.5756
ATOMIC_POSITIONS crystal
Tm 0.0000 0.0000 0.0000
Os 0.5000 0.5000 0.5000
Ho 0.7500 0.7500 0.7500
Er 0.2500 0.2500 0.2500
```



Below is SrGa3Rh after structural relaxation, with properties calculated at the PBE level. Values from VASP.

Space group: Pm-3m
Magnetization (μB per atom): 0.00
Energy of formation from the pure elements (eV per atom): -0.440
Theoretical density (g cm⁻³): 5.9
Volume (A^3/atom): 22.5
Calculated total energy (eV/atom): -4.063

Geometry as Quantum ESPRESSO input:
```
&SYSTEM
  ibrav = 0, nat = 5, ntyp = 3
/
ATOMIC_SPECIES
Sr 87.62 Sr.upf
Rh 102.91 Rh.upf
Ga 69.72 Ga.upf
CELL_PARAMETERS angstrom
4.8276 0.0000 0.0000
0.0000 4.8276 0.0000
0.0000 0.0000 4.8276
ATOMIC_POSITIONS crystal
Sr 0.5000 0.5000 0.5000
Rh 0.0000 0.0000 0.0000
Ga 0.0000 0.5000 0.0000
Ga 0.0000 0.0000 0.5000
Ga 0.5000 0.0000 0.0000
```



Below is ZnNi2RhN after structural relaxation, with properties calculated at the PBE level. Values from VASP.

Space group: P4/mmm
Magnetization (μB per atom): 0.00
Theoretical density (g cm⁻³): 8.6
Volume (A^3/atom): 11.6
Calculated total energy (eV/atom): -5.794

Geometry as Quantum ESPRESSO input:
```
&SYSTEM
  ibrav = 0, nat = 5, ntyp = 4
/
ATOMIC_SPECIES
Ni 58.69 Ni.upf
Zn 65.41 Zn.upf
Rh 102.91 Rh.upf
N 14.01 N.upf
CELL_PARAMETERS angstrom
3.7558 0.0000 0.0000
0.0000 3.7558 0.0000
0.0000 0.0000 4.0954
ATOMIC_POSITIONS crystal
Ni 0.0000 0.5000 0.0000
Ni 0.5000 0.0000 0.0000
Zn 0.5000 0.5000 0.5000
Rh 0.0000 0.0000 0.5000
N 0.0000 0.0000 0.0000
```



Below is Sm2PdC after structural relaxation, with properties calculated at the PBE level. Values from VASP.

Space group: R-3m
Magnetization (μB per atom): 0.00
Energy of formation from the pure elements (eV per atom): -0.351
Theoretical density (g cm⁻³): 8.1
Volume (A^3/atom): 21.4
Calculated total energy (eV/atom): -6.315

Geometry as Quantum ESPRESSO input:
```
&SYSTEM
  ibrav = 0, nat = 4, ntyp = 3
/
ATOMIC_SPECIES
C 12.01 C.upf
Pd 106.42 Pd.upf
Sm 150.36 Sm.upf
CELL_PARAMETERS angstrom
3.7502 0.0000 0.0000
1.8751 3.2478 0.0000
1.8751 1.0826 7.0184
ATOMIC_POSITIONS crystal
C 0.5000 0.5000 0.5000
Pd 0.0000 0.0000 0.0000
Sm 0.7659 0.7659 0.7023
Sm 0.2341 0.2341 0.2977
```



Below is LiPrSn3 after structural relaxation, with properties calculated at the PBE level. Values from VASP.

Space group: Pbcm
Magnetization (μB per atom): 0.00
Energy of formation from the pure elements (eV per atom): -0.412
Theoretical density (g cm⁻³): 6.4
Volume (A^3/atom): 26.3
Calculated total energy (eV/atom): -4.153
Distance to the lowest polymorph of the same formula (eV per atom): 0.000

Geometry as Quantum ESPRESSO input:
```
&SYSTEM
  ibrav = 0, nat = 20, ntyp = 3
/
ATOMIC_SPECIES
Li 6.94 Li.upf
Pr 140.91 Pr.upf
Sn 118.71 Sn.upf
CELL_PARAMETERS angstrom
6.2694 0.0644 0.0000
-0.0659 6.3033 0.0000
0.0000 0.0000 13.3078
ATOMIC_POSITIONS crystal
Li 0.2500 0.5000 0.1056
Li 0.7500 0.0000 0.8944
Li 0.7500 0.5000 0.8944
Li 0.2500 0.0000 0.1056
Pr 0.5029 0.2500 0.6905
Pr 0.4971 0.7500 0.3095
Pr 0.0029 0.2500 0.3095
Pr 0.9971 0.7500 0.6905
Sn 0.2500 0.0000 0.5024
Sn 0.7500 0.5000 0.4976
Sn 0.7500 0.0000 0.4976
Sn 0.2500 0.5000 0.5024
Sn 0.1851 0.7500 0.9207
Sn 0.8149 0.2500 0.0793
Sn 0.6851 0.7500 0.0793
Sn 0.3149 0.2500 0.9207
Sn 0.5017 0.7500 0.7416
Sn 0.4983 0.2500 0.2584
Sn 0.0017 0.7500 0.2584
Sn 0.9983 0.2500 0.7416
```



Below is Ba8Ag2PtAu after structural relaxation, with properties calculated at the PBE level. Values from VASP.

Space group: P2/m
Magnetization (μB per atom): 0.00
Energy of formation from the pure elements (eV per atom): -0.368
Theoretical density (g cm⁻³): 4.8
Volume (A^3/atom): 49.6
Calculated total energy (eV/atom): -2.901

Geometry as Quantum ESPRESSO input:
```
&SYSTEM
  ibrav = 0, nat = 12, ntyp = 4
/
ATOMIC_SPECIES
Ba 137.33 Ba.upf
Ag 107.87 Ag.upf
Pt 195.08 Pt.upf
Au 196.97 Au.upf
CELL_PARAMETERS angstrom
7.9828 -0.0107 -0.0046
0.0132 7.6954 -0.0091
0.0054 0.0117 9.6971
ATOMIC_POSITIONS crystal
Ba 0.1642 0.7744 0.2395
Ba 0.6845 0.7478 0.0000
Ba 0.8358 0.2256 0.2395
Ba 0.8358 0.2256 0.7605
Ba 0.3155 0.2522 0.0000
Ba 0.1642 0.7744 0.7605
Ba 0.6736 0.7382 0.5000
Ba 0.3264 0.2618 0.5000
Ag 0.5000 0.5000 0.7542
Ag 0.5000 0.5000 0.2458
Pt 0.0000 0.0000 0.0000
Au 0.0000 0.0000 0.5000
```